# Ca2AlFeMo GGA-PBE relaxed
data_Ca2AlFeMo
_cell_length_a 5.202
_cell_length_b 5.202
_cell_length_c 4.683
_cell_angle_alpha 90.00
_cell_angle_beta 90.00
_cell_angle_gamma 90.00
_symmetry_space_group_name_H-M 'P 4/m m m'
_symmetry_Int_Tables_number 123
_symmetry_space_group_name_Hall '-P 4 2'
loop_
_atom_site_label
_atom_site_fract_x
_atom_site_fract_y
_atom_site_fract_z
Ca1 0.000 0.500 0.000
Al1 0.000 0.000 0.500
Fe1 0.000 0.000 0.000
Mo1 0.500 0.500 0.500
# Energy ... -22.339 eV per cell
# Calculated formation energy ... 0.940 eV per atom
# Magnetic moment ... 5.49 μB/cell